## Cs2LiSeI6 (PBE)

Data for a geometry-optimized Cs2LiSeI6 structure.

Results
Crystal system: tetragonal
Magnetic moment in μB/f.u.: 1.00
E in eV/atom: -2.434
ΔE_f (raw) in eV/atom: -0.793

abc: 8.4351 8.4351 12.3200
angles: 90.00 90.00 90.00
Last column: nearest neighbours and their distance in Å.
Space group I4/mmm (No. 139)
One atom of each set of equivalent atoms:
Cs: 0.0000 0.5000 0.2500 [4 per cell]  12 I 4.23-4.29
Li: 0.0000 0.0000 0.0000 [2 per cell]  2 I 2.72
Se: 0.0000 0.0000 0.5000 [2 per cell]  4 I 2.80
I: 0.0000 0.0000 0.2210 [4 per cell]  1 Li 2.72
I: 0.2349 0.2349 0.5000 [8 per cell]  1 Se 2.80

## RbPuI2 (PBE)

Data for a geometry-optimized RbPuI2 structure.

Results
Crystal system: trigonal
Magnetic moment in μB/f.u.: 6.81
E in eV/atom: -5.468
Distance to the lowest polymorph of the same formula in meV/atom: 0.0
ΔE_f (raw) in eV/atom: -0.868

abc: 4.3340 4.3340 28.4775
angles: 90.00 90.00 120.00
Last column: nearest neighbours and their distance in Å.
Space group R-3m (No. 166, hexagonal axes)
One atom of each set of equivalent atoms:
Rb: 0.0000 0.0000 0.0000 [3 per cell]  6 I 3.66
Pu: 0.0000 0.0000 0.5000 [3 per cell]  6 I 3.25
I: 0.0000 0.0000 0.2397 [6 per cell]  3 Pu 3.25

## Pr2Nd6Th3 (PBE)

Data for a geometry-optimized Pr2Nd6Th3 structure.

Results
Formation energy in eV/atom: 0.035
Crystal system: trigonal
Magnetic moment in μB/f.u.: 0.00
E in eV/atom: -5.459

abc: 3.6495 3.6495 98.5727
angles: 90.00 90.00 120.00
Last column: nearest neighbours and their distance in Å.
Space group R-3m (No. 166, hexagonal axes)
One atom of each set of equivalent atoms:
Pr: 0.0000 0.0000 0.0459 [6 per cell]  6 Pr 3.65, 6 Nd 3.68-3.78
Nd: 0.0000 0.0000 0.1369 [6 per cell]  6 Th 3.62-3.63, 6 Nd 3.65
Nd: 0.0000 0.0000 0.3180 [6 per cell]  9 Nd 3.65-3.69, 3 Pr 3.68
Nd: 0.0000 0.0000 0.4111 [6 per cell]  3 Th 3.56, 6 Nd 3.65, 3 Pr 3.78
Th: 0.0000 0.0000 0.2264 [6 per cell]  6 Nd 3.56-3.63, 6 Th 3.65
Th: 0.0000 0.0000 0.5000 [3 per cell]  6 Nd 3.62, 6 Th 3.65

## CaLa2Pr (PBE)

Data for a geometry-optimized CaLa2Pr structure.

Results
Formation energy in eV/atom: 0.106
Crystal system: cubic
Magnetic moment in μB/f.u.: 0.00
E in eV/atom: -4.053
Distance to the lowest polymorph of the same formula in meV/atom: 77.7

abc: 8.4780 8.4780 8.4780
angles: 90.00 90.00 90.00
Last column: nearest neighbours and their distance in Å.
Space group Fm-3m (No. 225)
One atom of each set of equivalent atoms:
Ca: 0.0000 0.0000 0.0000 [4 per cell]  8 La 3.67
La: 0.2500 0.2500 0.2500 [8 per cell]  4 Pr 3.67, 4 Ca 3.67
Pr: 0.0000 0.0000 0.5000 [4 per cell]  8 La 3.67

## CeNdErTh (PBE)

Data for a geometry-optimized CeNdErTh structure.

Results
Formation energy in eV/atom: 0.042
Crystal system: trigonal
Magnetic moment in μB/f.u.: 0.03
E in eV/atom: -5.629
Distance to the lowest polymorph of the same formula in meV/atom: 0.0

abc: 3.5596 3.5596 34.5207
angles: 90.00 90.00 120.00
Last column: nearest neighbours and their distance in Å.
Space group R3m (No. 160, hexagonal axes)
One atom of each set of equivalent atoms:
Ce: 0.0000 0.0000 0.0000 [3 per cell]  3 Th 3.45, 3 Er 3.48, 6 Ce 3.56
Nd: 0.0000 0.0000 0.1681 [3 per cell]  6 Nd 3.56, 3 Th 3.59, 3 Er 3.63
Er: 0.0000 0.0000 0.4149 [3 per cell]  3 Ce 3.49, 6 Er 3.56, 3 Nd 3.63
Th: 0.0000 0.0000 0.5865 [3 per cell]  3 Ce 3.45, 6 Th 3.56, 3 Nd 3.59

## Th2Be3AlIr4 (PBE)

Data for a geometry-optimized Th2Be3AlIr4 structure.

Results
Formation energy in eV/atom: -0.769
Crystal system: tetragonal
Magnetic moment in μB/f.u.: 0.00
E in eV/atom: -7.290

abc: 4.0927 4.0927 9.8634
angles: 90.00 90.00 90.00
Last column: nearest neighbours and their distance in Å.
Space group P-4m2 (No. 115)
One atom of each set of equivalent atoms:
Th: 0.0000 0.5000 0.2326 [2 per cell]  8 Ir 3.07-3.14, 7 Be 3.14-3.38, 2 Al 3.34
Be: 0.0000 0.5000 0.8897 [2 per cell]  5 Ir 2.32-2.42
Be: 0.5000 0.5000 0.5000 [1 per cell]  4 Ir 2.49
Al: 0.0000 0.0000 0.5000 [1 per cell]  4 Ir 2.49
Ir: 0.0000 0.0000 0.0000 [1 per cell]  4 Be 2.32
Ir: 0.0000 0.5000 0.6440 [2 per cell]  3 Be 2.42-2.49, 2 Al 2.49
Ir: 0.5000 0.5000 0.0000 [1 per cell]  4 Be 2.32

## TiSe2S2 (PBE)

Data for a geometry-optimized TiSe2S2 structure.

Results
Crystal system: tetragonal
Magnetic moment in μB/f.u.: 0.00
E in eV/atom: -4.758
Distance to the lowest polymorph of the same formula in meV/atom: 0.0
ΔE_f (raw) in eV/atom: -0.134

abc: 6.6463 6.6463 4.7127
angles: 90.00 90.00 90.00
Last column: nearest neighbours and their distance in Å.
Space group P4/mbm (No. 127)
One atom of each set of equivalent atoms:
Ti: 0.0000 0.0000 0.0000 [2 per cell]  4 S 2.44
Se: 0.2423 0.2577 0.5000 [4 per cell]  2 S 2.47
S: 0.1794 0.6794 0.0000 [4 per cell]  2 Ti 2.44, 2 Se 2.47